# ZrRu3Se (PBE, relaxed)
# - DFT total energy: -37.45 eV for the cell shown
# - Formation energy from raw total energies: 233 kJ/mol of formula units
# - Density of states at the Fermi level: 2.7 states/eV per cell
# - Calculated volume: 18.3 Å³/atom
# - Energy above the most stable polymorph in this dataset: 0.00 kJ/mol of atoms
data_ZrRu3Se
_cell_length_a 4.508
_cell_length_b 4.508
_cell_length_c 4.508
_cell_angle_alpha 90.00
_cell_angle_beta 90.00
_cell_angle_gamma 90.00
_space_group_name_H-M_alt 'P m -3 m'
_space_group_IT_number 221
_space_group_name_Hall '-P 4 2 3'
loop_
_atom_site_label
_atom_site_type_symbol
_atom_site_fract_x
_atom_site_fract_y
_atom_site_fract_z
_atom_site_occupancy
Zr1 Zr 0.000 0.000 0.000 1
Ru1 Ru 0.000 0.500 0.500 1
Se1 Se 0.500 0.500 0.500 1